# 1
HoAlPO | PBE | relaxed

Mass density in Mg/m³: 6.020
Space group: P4/nmm, No. 129
Offset from the most stable computed form in eV/f.u.: 0.00
Electronic total energy in eV/atom: -6.406

a b c (Å): 3.9493 3.9493 8.4492
angles (deg): 90.00 90.00 90.00
Last column: nearest neighbours and their distance in Å.
Atoms (fractional coordinates):
Ho: 0.2500 0.2500 0.1242  4 O 2.24
Ho: 0.7500 0.7500 0.8758  4 O 2.24
Al: 0.2500 0.7500 0.5000  4 P 2.44
Al: 0.7500 0.2500 0.5000  4 P 2.44
O: 0.7500 0.2500 0.0000  4 Ho 2.24
O: 0.2500 0.7500 0.0000  4 Ho 2.24
P: 0.7500 0.7500 0.3306  4 Al 2.44
P: 0.2500 0.2500 0.6694  4 Al 2.44

***

# 2
Mg2SiP4Pd | PBE | relaxed

Mass density in Mg/m³: 2.933
Space group: I-4, No. 82
Electronic total energy in eV/atom: -4.620

a b c (Å): 6.9634 6.9634 6.9634
angles (deg): 133.65 133.65 67.64
Last column: nearest neighbours and their distance in Å.
Atoms (fractional coordinates):
P: 0.8831 0.3385 0.9592  1 Si 2.26, 1 Pd 2.33, 1 Mg 2.51
P: 0.0761 0.1169 0.4554  1 Si 2.26, 1 Pd 2.33, 1 Mg 2.51
P: 0.3793 0.9239 0.0408  1 Si 2.26, 1 Pd 2.33, 1 Mg 2.51
P: 0.6615 0.6207 0.5446  1 Si 2.26, 1 Pd 2.33, 1 Mg 2.51
Mg: 0.5000 0.5000 0.0000  4 P 2.60-2.61
Mg: 0.2500 0.7500 0.5000  4 P 2.51
Pd: 0.0000 0.0000 0.0000  4 P 2.33
Si: 0.7500 0.2500 0.5000  4 P 2.26

***

# 3
AlCdMo4N2 | PBE | relaxed

Mass density in Mg/m³: 8.516
Space group: P-6m2, No. 187
Electronic total energy in eV/atom: -8.165

a b c (Å): 2.8777 2.8777 14.9860
angles (deg): 90.00 90.00 120.00
Last column: nearest neighbours and their distance in Å.
Atoms (fractional coordinates):
Mo: 0.0000 0.0000 0.6665  3 N 2.16
Mo: 0.0000 0.0000 0.3335  3 N 2.16
Mo: 0.6667 0.3333 0.1492  3 N 2.16
Mo: 0.6667 0.3333 0.8508  3 N 2.16
Al: 0.0000 0.0000 0.0000  6 Mo 2.79, 6 Al 2.88
N: 0.3333 0.6667 0.7581  6 Mo 2.16
N: 0.3333 0.6667 0.2419  6 Mo 2.16
Cd: 0.6667 0.3333 0.5000  6 Cd 2.88, 6 Mo 3.00

***

# 4
CoReAgGe | PBE | relaxed

Mass density in Mg/m³: 12.261
Space group: F-43m, No. 216
Offset from the most stable computed form in eV/f.u.: 0.00
Electronic total energy in eV/atom: -6.181

a b c (Å): 4.3361 4.3361 4.3361
angles (deg): 60.00 60.00 60.00
Last column: nearest neighbours and their distance in Å.
Atoms (fractional coordinates):
Co: 0.7500 0.7500 0.7500  4 Ge 2.66, 4 Ag 2.66
Re: 0.2500 0.2500 0.2500  4 Ag 2.66, 4 Ge 2.66
Ag: 0.5000 0.5000 0.5000  4 Co 2.66, 4 Re 2.66
Ge: 0.0000 0.0000 0.0000  4 Co 2.66, 4 Re 2.66

***

# 5
GdHoGa2Br2 | PBE | relaxed

Mass density in Mg/m³: 6.195
Space group: P3m1, No. 156
Electronic total energy in eV/atom: -4.324

a b c (Å): 4.1322 4.1322 11.2651
angles (deg): 90.00 90.00 120.00
Last column: nearest neighbours and their distance in Å.
Atoms (fractional coordinates):
Ho: 0.0000 0.0000 0.3180  3 Ga 2.92, 3 Br 2.95
Br: 0.3333 0.6667 0.1632  3 Ho 2.95
Br: 0.6667 0.3333 0.8404  3 Gd 2.98
Gd: 0.0000 0.0000 0.6820  3 Ga 2.95, 3 Br 2.98
Ga: 0.3333 0.6667 0.5287  3 Ga 2.48
Ga: 0.6667 0.3333 0.4677  3 Ga 2.48

***

# 6
TmLu2Hg2 | PBE | relaxed

DFT formation energy in eV/atom: 0.154
Mass density in Mg/m³: 10.193
Space group: I4/mmm, No. 139
Electronic total energy in eV/atom: -2.670

a b c (Å): 6.2375 6.2375 6.2375
angles (deg): 127.01 127.01 78.23
Last column: nearest neighbours and their distance in Å.
Atoms (fractional coordinates):
Lu: 0.3393 0.3393 0.0000  1 Lu 3.11, 4 Hg 3.19, 1 Tm 3.28
Lu: 0.6607 0.6607 0.0000  1 Lu 3.11, 4 Hg 3.19, 1 Tm 3.28
Tm: 0.0000 0.0000 0.0000  4 Hg 2.78
Hg: 0.5000 0.0000 0.5000  2 Tm 2.78
Hg: 0.0000 0.5000 0.5000  2 Tm 2.78

***

# 7
Hf2InCu2 | PBE | relaxed

Mass density in Mg/m³: 10.120
Space group: I4/mmm, No. 139
Electronic total energy in eV/atom: -5.659

a b c (Å): 6.9722 6.9722 6.9722
angles (deg): 147.35 147.35 46.84
Last column: nearest neighbours and their distance in Å.
Atoms (fractional coordinates):
Cu: 0.2500 0.7500 0.5000  4 Hf 2.63, 4 Cu 2.77
Cu: 0.7500 0.2500 0.5000  4 Hf 2.63, 4 Cu 2.77
Hf: 0.6126 0.6126 0.0000  4 Cu 2.63, 1 Hf 2.88
Hf: 0.3874 0.3874 0.0000  4 Cu 2.63, 1 Hf 2.88
In: 0.0000 0.0000 0.0000  8 Hf 3.12

***

# 8
NdCdInSe3 | PBE | relaxed

Mass density in Mg/m³: 5.911
Space group: Pnma, No. 62
Offset from the most stable computed form in eV/f.u.: 0.06
Electronic total energy in eV/atom: -4.146

a b c (Å): 4.4194 12.3020 12.5743
angles (deg): 90.00 90.00 90.00
Last column: nearest neighbours and their distance in Å.
Atoms (fractional coordinates):
Se: 0.2500 0.7305 0.3196  2 Cd 2.71, 1 Nd 3.02
Se: 0.2500 0.5327 0.6592  1 Cd 2.67
Se: 0.2500 0.0327 0.8408  1 Cd 2.67
Se: 0.2500 0.9087 0.5614  1 Cd 2.63
Se: 0.7500 0.9673 0.1592  1 Cd 2.67
Se: 0.2500 0.4087 0.9386  1 Cd 2.62
Se: 0.7500 0.0913 0.4386  1 Cd 2.62
Se: 0.7500 0.5913 0.0614  1 Cd 2.62
Se: 0.7500 0.4673 0.3408  1 Cd 2.67
Se: 0.7500 0.2695 0.6804  2 Cd 2.71, 1 Nd 3.02
Se: 0.7500 0.7695 0.8196  2 Cd 2.71, 1 Nd 3.02
Se: 0.2500 0.2305 0.1804  2 Cd 2.71, 1 Nd 3.02
Cd: 0.2500 0.7461 0.6965  4 Se 2.63-2.71
Cd: 0.7500 0.2539 0.3035  4 Se 2.62-2.71
Cd: 0.2500 0.2461 0.8035  4 Se 2.62-2.71
Cd: 0.7500 0.7539 0.1965  4 Se 2.62-2.71
Nd: 0.7500 0.0242 0.6747  6 Se 2.99-3.08
Nd: 0.2500 0.9758 0.3253  6 Se 2.99-3.08
Nd: 0.7500 0.5242 0.8253  6 Se 2.99-3.08
Nd: 0.2500 0.4758 0.1747  6 Se 2.99-3.08
In: 0.7500 0.6602 0.4922  3 Se 3.04-3.22
In: 0.7500 0.1602 0.0078  3 Se 3.04-3.22
In: 0.2500 0.8398 0.9922  3 Se 3.04-3.22
In: 0.2500 0.3398 0.5078  3 Se 3.04-3.22